# 1
Compound: Cu12Au17
Source: the Alexandria database
Functional: GGA-PBEsol
Structure: optimized geometry

Computed properties:
ΔE_f	0.10	eV/f.u.
total magnetization	0.0	μB per formula unit
symmetry	I-43m (217)

```
Cu12Au17
1.0
8.2248 0.0000 0.0000
-2.7416 7.7544 0.0000
-2.7416 -3.8772 6.7155
Au Cu
17 12
Direct
0.0000 0.6895 0.4063 Au
0.0000 0.4063 0.6895 Au
0.7168 0.3105 0.3105 Au
0.2832 0.5937 0.5937 Au
0.3105 0.3105 0.7168 Au
0.5937 0.5937 0.2832 Au
0.6895 0.4063 0.0000 Au
0.4063 0.6895 0.0000 Au
0.6895 0.0000 0.4063 Au
0.4063 0.0000 0.6895 Au
0.5937 0.2832 0.5937 Au
0.3105 0.7168 0.3105 Au
0.0000 0.0000 0.6696 Au
0.0000 0.6696 0.0000 Au
0.6696 0.0000 0.0000 Au
0.3304 0.3304 0.3304 Au
0.0000 0.0000 0.0000 Au
0.0000 0.1859 0.3699 Cu
0.0000 0.3699 0.1859 Cu
0.1840 0.8141 0.8141 Cu
0.8160 0.6301 0.6301 Cu
0.8141 0.8141 0.1840 Cu
0.6301 0.6301 0.8160 Cu
0.1859 0.3699 0.0000 Cu
0.3699 0.1859 0.0000 Cu
0.1859 0.0000 0.3699 Cu
0.3699 0.0000 0.1859 Cu
0.6301 0.8160 0.6301 Cu
0.8141 0.1840 0.8141 Cu
```

# 2
Compound: Y2TiOs
Source: the Alexandria database
Functional: GGA-PBEsol
Structure: optimized geometry

Computed properties:
ΔE_f	0.61	eV/f.u.
total magnetization	2.2	μB per formula unit
symmetry	Fm-3m (225)

```
Y2TiOs
1.0
-1.8045 1.0893 -4.3997
-4.1115 -2.1239 -1.5443
-4.1030 2.6124 -0.3752
Y Os Ti
2 1 1
Direct
0.2500 0.2500 0.2500 Y
0.7500 0.7500 0.7500 Y
0.5000 0.5000 0.5000 Os
0.0000 0.0000 0.0000 Ti
```

# 3
Compound: LiVP3O9
Source: the Alexandria database
Functional: GGA-PBEsol
Structure: optimized geometry

Computed properties:
total magnetization	3.0	μB per formula unit
symmetry	R3 (146)
formation energy without anion corrections	-29.5	eV per formula unit

```
LiVP3O9
1.0
-1.5110 -5.7250 2.1678
3.7139 2.7070 4.3170
-5.3270 3.3643 -0.2487
Li V P O
1 1 3 9
Direct
0.3577 0.3577 0.3577 Li
0.9931 0.9931 0.9931 V
0.0436 0.9117 0.4872 P
0.9117 0.4872 0.0436 P
0.4872 0.0436 0.9117 P
0.2813 0.8809 0.6378 O
0.8809 0.6378 0.2813 O
0.6378 0.2813 0.8809 O
0.0804 0.3724 0.1245 O
0.1245 0.0804 0.3724 O
0.3724 0.1245 0.0804 O
0.6400 0.9093 0.9659 O
0.9093 0.9659 0.6400 O
0.9659 0.6400 0.9093 O
```